(1)
Below is a relaxed structure of Nb2PdC, with properties calculated at the PBE level.

## Properties
Total magnetic moment   0.000 μB/atom
D(E_F)   1.9 states/eV/f.u.
DFT total energy   -8.518 eV per atom
ΔH_f (0 K)   121 meV per atom

Lattice parameters (Å, degrees): 6.513 6.513 5.699 90.00 90.00 90.00
Space group I-42d (No. 122)
Symmetry-distinct sites (fractional):
Nb  0.184  0.250  0.125 (multiplicity 8)
Pd  0.000  0.000  0.500 (multiplicity 4)
C  0.000  0.000  0.000 (multiplicity 4)



(2)
Below is a relaxed structure of Nb3PdC, with properties calculated at the PBE level.

## Properties
Total magnetic moment   0.000 μB/atom
D(E_F)   4.1 states/eV/f.u.
DFT total energy   -9.273 eV per atom
ΔH_f (0 K)   -348 meV per atom
Polymorph energy (0 for the lowest one)   0.000 eV/atom

Lattice parameters (Å, degrees): 3.163 11.162 8.749 90.00 90.00 90.00
Space group Cmcm (No. 63)
Symmetry-distinct sites (fractional):
Nb  0.000  0.038  0.250 (multiplicity 4)
Nb  0.000  0.372  0.046 (multiplicity 8)
Pd  0.000  0.255  0.750 (multiplicity 4)
C  0.000  0.000  0.000 (multiplicity 4)



(3)
Below is a relaxed structure of Nb2PdC, with properties calculated at the PBE level.

## Properties
Total magnetic moment   0.000 μB/atom
D(E_F)   3.2 states/eV/f.u.
DFT total energy   -9.041 eV per atom
ΔH_f (0 K)   -401 meV per atom

Lattice parameters (Å, degrees): 3.1247 3.1247 20.8544 90.00 90.00 120.00
Space group R-3m (No. 166, hexagonal axes)
Symmetry-distinct sites (fractional):
Nb  0.0000  0.0000  0.2253 (multiplicity 6)
Pd  0.0000  0.0000  0.0000 (multiplicity 3)
C  0.0000  0.0000  0.5000 (multiplicity 3)



(4)
Below is a relaxed structure of NbPdRu2C, with properties calculated at the PBE level.

## Properties
Total magnetic moment   0.000 μB/atom
D(E_F)   5.9 states/eV/f.u.
DFT total energy   -8.589 eV per atom
ΔH_f (0 K)   19 meV per atom

Lattice parameters (Å, degrees): 4.040 4.040 4.261 90.00 90.00 90.00
Space group P4/mmm (No. 123)
Symmetry-distinct sites (fractional):
Nb  0.000  0.000  0.000 (multiplicity 1)
Pd  0.500  0.500  0.000 (multiplicity 1)
Ru  0.000  0.500  0.500 (multiplicity 2)
C  0.000  0.000  0.500 (multiplicity 1)